Entry 1:
PBE Rb4Ac3NpSe8, optimized geometry; raw total energy = -83.38 eV per cell; space group = No. 166; magnetic moment = 4.0 Bohr magnetons per cell; E_form (uncorrected) = -1.65 eV/atom
1.0
4.5527 2.6285 8.0245
-4.5527 2.6285 8.0245
0.0000 -5.2570 8.0245
Rb Ac Np Se
4 3 1 8
direct
0.0000 0.0000 0.0000 Rb
0.0000 0.5000 0.5000 Rb
0.5000 0.0000 0.5000 Rb
0.5000 0.5000 0.0000 Rb
0.0000 0.0000 0.5000 Ac
0.0000 0.5000 0.0000 Ac
0.5000 0.0000 0.0000 Ac
0.5000 0.5000 0.5000 Np
0.2367 0.2367 0.2367 Se
0.2466 0.7278 0.7278 Se
0.2722 0.2722 0.7534 Se
0.2722 0.7534 0.2722 Se
0.7278 0.2466 0.7278 Se
0.7278 0.7278 0.2466 Se
0.7534 0.2722 0.2722 Se
0.7633 0.7633 0.7633 Se



Entry 2:
PBE Rb2AcNpSe4, optimized geometry; raw total energy = -44.90 eV per cell; space group = No. 10; magnetic moment = 4.0 Bohr magnetons per cell; E_form (uncorrected) = -1.50 eV/atom
1.0
7.7557 0.0000 0.0000
0.0000 4.4738 0.0000
-2.5896 0.0000 8.0237
Rb Ac Np Se
2 1 1 4
direct
0.0000 0.0000 0.0000 Rb
0.5000 0.5000 0.0000 Rb
0.0000 0.5000 0.5000 Ac
0.5000 0.0000 0.5000 Np
0.2482 0.0000 0.7061 Se
0.2814 0.5000 0.3027 Se
0.7186 0.5000 0.6973 Se
0.7518 0.0000 0.2939 Se